Entry from the Alexandria database: a relaxed structure of Ba2CaSi (PBE).

Lattice parameters (Å, degrees): 5.8114 5.8114 5.8114 60.00 60.00 60.00
With the nearest neighbours (Å) after each atom.
Positions (direct):
Ba 0.0000 0.0000 0.0000  4 Ba 3.56, 4 Si 3.56
Ba 0.2500 0.2500 0.2500  4 Ca 3.56, 4 Ba 3.56
Ca 0.5000 0.5000 0.5000  4 Si 3.56, 4 Ba 3.56
Si 0.7500 0.7500 0.7500  4 Ba 3.56, 4 Ca 3.56

Calculated values
symmetry = F-43m
E above lowest polymorph = 0.286 eV/atom
mass density = 4.1 g/cm³
E_tot = -2.670 eV per atom


Entry from the Alexandria database: a relaxed structure of BaSrSeS (PBE).

Lattice parameters (Å, degrees): 5.4465 5.4465 5.4465 60.00 60.00 60.00
With the nearest neighbours (Å) after each atom.
Positions (direct):
Sr 0.7500 0.7500 0.7500  4 S 3.34, 4 Se 3.34
S 0.0000 0.0000 0.0000  4 Sr 3.34, 4 Ba 3.34
Ba 0.2500 0.2500 0.2500  4 S 3.34, 4 Se 3.34
Se 0.5000 0.5000 0.5000  4 Ba 3.34, 4 Sr 3.34

Calculated values
symmetry = F-43m
E above lowest polymorph = 0.259 eV/atom
mass density = 4.9 g/cm³
E_tot = -4.616 eV per atom


Entry from the Alexandria database: a relaxed structure of PmY3Tm2Sb6 (PBE).

Lattice parameters (Å, degrees): 7.6069 7.6069 7.6039 99.60 99.60 120.01
With the nearest neighbours (Å) after each atom.
Positions (direct):
Pm 0.0000 0.0000 0.0000  6 Sb 3.13-3.14
Y 0.1641 0.8359 0.5000  6 Sb 3.09-3.12
Y 0.8359 0.1641 0.5000  6 Sb 3.09-3.12
Y 0.5000 0.5000 0.5000  6 Sb 3.08-3.12
Tm 0.3326 0.6674 0.0000  6 Sb 3.08-3.09
Tm 0.6674 0.3326 0.0000  6 Sb 3.08-3.09
Sb 0.9164 0.5773 0.7497  2 Tm 3.08-3.09, 3 Y 3.09-3.12, 1 Pm 3.14
Sb 0.7432 0.7432 0.2479  3 Y 3.08-3.11, 2 Tm 3.08, 1 Pm 3.13
Sb 0.0836 0.4227 0.2503  2 Tm 3.08-3.09, 3 Y 3.09-3.12, 1 Pm 3.14
Sb 0.5773 0.9164 0.7497  2 Tm 3.08-3.09, 3 Y 3.09-3.12, 1 Pm 3.14
Sb 0.2568 0.2568 0.7521  3 Y 3.08-3.11, 2 Tm 3.08, 1 Pm 3.13
Sb 0.4227 0.0836 0.2503  2 Tm 3.08-3.09, 3 Y 3.09-3.12, 1 Pm 3.14

Calculated values
symmetry = C2/m
mass density = 6.8 g/cm³
E_tot = -5.951 eV per atom


Entry from the Alexandria database: a relaxed structure of TbPa4 (PBE).

Lattice parameters (Å, degrees): 5.3606 5.3606 5.3606 90.00 90.00 90.00
With the nearest neighbours (Å) after each atom.
Positions (direct):
Pa 0.0000 0.0000 0.0000  12 Pa 3.79
Pa 0.5000 0.0000 0.5000  2 Tb 2.68
Pa 0.0000 0.5000 0.5000  2 Tb 2.68
Pa 0.5000 0.5000 0.0000  2 Tb 2.68
Tb 0.5000 0.5000 0.5000  6 Pa 2.68

Calculated values
symmetry = Pm-3m
energy of formation = 1.53 eV per atom
mass density = 11.7 g/cm³
E_tot = -6.996 eV per atom


Entry from the Alexandria database: a relaxed structure of Zn6Cu2Rh (PBE).

Lattice parameters (Å, degrees): 4.6022 3.8266 8.1374 89.98 105.83 114.58
With the nearest neighbours (Å) after each atom.
Positions (direct):
Zn 0.6665 0.3335 0.9415  9 Zn 2.62-2.75, 3 Cu 2.66-2.73
Zn 0.3335 0.6665 0.0585  9 Zn 2.62-2.75, 3 Cu 2.66-2.73
Zn 0.9901 0.9956 0.1748  3 Cu 2.62-2.66, 8 Zn 2.62-2.87, 1 Rh 2.63
Zn 0.3261 0.6628 0.3953  3 Rh 2.63-2.69, 4 Cu 2.66-2.72, 5 Zn 2.68-2.75
Zn 0.0099 0.0044 0.8252  3 Cu 2.62-2.66, 8 Zn 2.62-2.87, 1 Rh 2.63
Zn 0.6739 0.3372 0.6047  3 Rh 2.63-2.69, 4 Cu 2.66-2.72, 5 Zn 2.68-2.75
Cu 0.3531 0.6765 0.7266  10 Zn 2.62-2.73, 2 Rh 2.76
Cu 0.6469 0.3235 0.2734  10 Zn 2.62-2.73, 2 Rh 2.76
Rh 0.0000 0.0000 0.5000  8 Zn 2.63-2.69, 4 Cu 2.76

Calculated values
symmetry = C2/m
energy of formation = -0.14 eV per atom
E above lowest polymorph = 0.000 eV/atom
mass density = 8.3 g/cm³
E_tot = -2.720 eV per atom


Entry from the Alexandria database: a relaxed structure of Y2Ag2Pt (PBE).

Lattice parameters (Å, degrees): 4.5302 4.5302 7.1078 90.15 108.56 119.78
With the nearest neighbours (Å) after each atom.
Positions (direct):
Y 0.8027 0.4020 0.2047  3 Pt 2.94-2.95, 3 Ag 3.08-3.09
Y 0.1973 0.5980 0.7953  3 Pt 2.94-2.95, 3 Ag 3.08-3.09
Ag 0.3010 0.1509 0.4519  3 Ag 2.69, 1 Pt 2.99
Ag 0.6990 0.8491 0.5481  3 Ag 2.69, 1 Pt 2.99
Pt 0.0000 0.0000 0.0000  6 Y 2.94-2.95, 2 Ag 2.99

Calculated values
symmetry = C2/m
energy of formation = -0.59 eV per atom
E above lowest polymorph = 0.000 eV/atom
mass density = 8.3 g/cm³
E_tot = -5.529 eV per atom


Entry from the Alexandria database: a relaxed structure of FeMoPt2 (PBE).

Lattice parameters (Å, degrees): 4.8161 4.8161 4.8161 133.04 133.03 68.60
With the nearest neighbours (Å) after each atom.
Positions (direct):
Mo 0.2500 0.7500 0.5000  4 Fe 2.71, 8 Pt 2.76
Fe 0.7500 0.2500 0.5000  4 Mo 2.71, 8 Pt 2.76
Pt 0.9999 0.9999 0.0000  4 Pt 2.71, 4 Fe 2.76, 4 Mo 2.76
Pt 0.5001 0.5001 0.0000  4 Pt 2.71, 4 Fe 2.76, 4 Mo 2.76

Calculated values
symmetry = I4/mmm
energy of formation = -0.24 eV per atom
mass density = 15.4 g/cm³
E_tot = -8.087 eV per atom


Entry from the Alexandria database: a relaxed structure of Ac3Pt3Pb (PBE).

Lattice parameters (Å, degrees): 6.0735 9.3605 9.3605 120.00 90.00 90.00
With the nearest neighbours (Å) after each atom.
Positions (direct):
Ac 0.7500 0.6957 0.6504  5 Pt 3.04-3.21
Ac 0.7500 0.3496 0.0453  5 Pt 3.04-3.21
Ac 0.7500 0.9547 0.3043  5 Pt 3.04-3.21
Ac 0.2500 0.3043 0.3496  5 Pt 3.04-3.21
Ac 0.2500 0.6504 0.9547  5 Pt 3.04-3.21
Ac 0.2500 0.0453 0.6957  5 Pt 3.04-3.21
Pt 0.2500 0.6825 0.6421  1 Pb 2.82, 3 Ac 3.04-3.09
Pt 0.2500 0.3579 0.0404  1 Pb 2.82, 3 Ac 3.04-3.09
Pt 0.2500 0.9596 0.3175  1 Pb 2.82, 3 Ac 3.04-3.09
Pt 0.7500 0.3175 0.3579  1 Pb 2.82, 3 Ac 3.04-3.09
Pt 0.7500 0.6421 0.9596  1 Pb 2.82, 3 Ac 3.04-3.09
Pt 0.7500 0.0404 0.6825  1 Pb 2.82, 3 Ac 3.04-3.09
Pb 0.2500 0.6667 0.3333  3 Pt 2.82
Pb 0.7500 0.3333 0.6667  3 Pt 2.82

Calculated values
symmetry = P6_3/m
energy of formation = -0.85 eV per atom
mass density = 10.6 g/cm³
E_tot = -5.730 eV per atom


Entry from the Alexandria database: a relaxed structure of CuMoPRu2 (PBE).

Lattice parameters (Å, degrees): 4.3060 4.4427 4.3060 90.00 90.00 90.00
With the nearest neighbours (Å) after each atom.
Positions (direct):
Ru 0.0000 0.0000 0.5000  2 P 2.15
Ru 0.5000 0.0000 0.0000  2 P 2.15
Mo 0.0000 0.5000 0.0000  2 P 2.22
Cu 0.5000 0.5000 0.5000  4 Mo 3.04, 8 Ru 3.09
P 0.0000 0.0000 0.0000  4 Ru 2.15, 2 Mo 2.22

Calculated values
symmetry = P4/mmm
energy of formation = 0.61 eV per atom
mass density = 7.9 g/cm³
E_tot = -7.171 eV per atom


Entry from the Alexandria database: a relaxed structure of Ti6Ga3Pd (PBE).

Lattice parameters (Å, degrees): 5.7118 7.9173 7.9173 105.18 90.00 90.00
With the nearest neighbours (Å) after each atom.
Positions (direct):
Ti 0.0883 0.7569 0.6780  4 Ga 2.60-2.76, 1 Ti 2.75
Ti 0.5883 0.6780 0.7569  4 Ga 2.60-2.76, 1 Ti 2.75
Ti 0.2768 0.5274 0.9385  3 Ga 2.57-2.79, 1 Pd 2.69, 1 Ti 2.75
Ti 0.7768 0.9385 0.5274  3 Ga 2.57-2.79, 1 Pd 2.69, 1 Ti 2.75
Ti 0.3239 0.9420 0.0580  1 Pd 2.46, 4 Ga 2.64-2.65
Ti 0.6699 0.2970 0.7030  1 Pd 2.69, 3 Ga 2.75-2.89, 4 Ti 2.88-2.97
Ti 0.1699 0.7030 0.2970  1 Pd 2.69, 3 Ga 2.75-2.89, 4 Ti 2.88-2.97
Ti 0.8239 0.0580 0.9420  1 Pd 2.46, 4 Ga 2.64-2.65
Ti 0.2768 0.0615 0.4726  3 Ga 2.57-2.79, 1 Pd 2.69, 1 Ti 2.75
Ti 0.7768 0.4726 0.0615  3 Ga 2.57-2.79, 1 Pd 2.69, 1 Ti 2.75
Ti 0.0883 0.3220 0.2431  4 Ga 2.60-2.76, 1 Ti 2.75
Ti 0.5883 0.2431 0.3220  4 Ga 2.60-2.76, 1 Ti 2.75
Ga 0.4397 0.9868 0.7493  1 Ga 2.54, 6 Ti 2.57-2.67, 1 Pd 2.58
Ga 0.9397 0.7493 0.9868  1 Ga 2.54, 6 Ti 2.57-2.67, 1 Pd 2.58
Ga 0.2825 0.4270 0.5730  7 Ti 2.75-2.79, 1 Pd 2.94
Ga 0.7825 0.5730 0.4270  7 Ti 2.75-2.79, 1 Pd 2.94
Ga 0.9397 0.0132 0.2507  1 Ga 2.54, 6 Ti 2.57-2.67, 1 Pd 2.58
Ga 0.4397 0.2507 0.0132  1 Ga 2.54, 6 Ti 2.57-2.67, 1 Pd 2.58
Pd 0.0993 0.2083 0.7917  4 Ti 2.46-2.69, 2 Ga 2.58
Pd 0.5993 0.7917 0.2083  4 Ti 2.46-2.69, 2 Ga 2.58

Calculated values
symmetry = Cmc2_1
energy of formation = -0.24 eV per atom
mass density = 5.8 g/cm³
E_tot = -6.406 eV per atom


Entry from the Alexandria database: a relaxed structure of CaPrPt2 (PBE).

Lattice parameters (Å, degrees): 3.9969 4.4343 5.7978 90.00 110.13 90.00
With the nearest neighbours (Å) after each atom.
Positions (direct):
Ca 0.7229 0.0000 0.9848  7 Pt 3.03-3.13
Pr 0.4412 0.5000 0.4222  7 Pt 3.01-3.15
Pt 0.1651 0.5000 0.8692  2 Pt 2.84, 3 Pr 3.01-3.15, 4 Ca 3.05
Pt 0.0018 0.0000 0.5418  2 Pt 2.84, 3 Ca 3.03-3.13, 4 Pr 3.05-3.06

Calculated values
symmetry = Amm2
energy of formation = -1.03 eV per atom
mass density = 9.8 g/cm³
E_tot = -5.744 eV per atom


Entry from the Alexandria database: a relaxed structure of Ce4HoPu3S8 (PBE).

Lattice parameters (Å, degrees): 7.9350 7.9637 7.9348 119.88 120.00 90.00
With the nearest neighbours (Å) after each atom.
Positions (direct):
Ce 0.5000 0.0000 0.0000  6 S 2.86
Ce 0.5000 0.0000 0.5000  6 S 2.84
Ce 0.0000 0.0000 0.0000  6 S 2.84
Ce 0.0000 0.0000 0.5000  6 S 2.84
Ho 0.0000 0.5000 0.0000  6 S 2.76
Pu 0.5000 0.5000 0.0000  6 S 2.78
Pu 0.5000 0.5000 0.5000  6 S 2.78
Pu 0.0000 0.5000 0.5000  6 S 2.78
S 0.2458 0.7406 0.9949  1 Ho 2.76, 2 Pu 2.78, 3 Ce 2.84-2.86
S 0.2458 0.7406 0.4915  1 Ho 2.76, 2 Pu 2.78, 3 Ce 2.84-2.86
S 0.2530 0.2589 0.5059  3 Pu 2.78, 3 Ce 2.84
S 0.7491 0.7406 0.9949  1 Ho 2.76, 2 Pu 2.78, 3 Ce 2.84-2.86
S 0.2509 0.2594 0.0051  1 Ho 2.76, 2 Pu 2.78, 3 Ce 2.84-2.86
S 0.7470 0.7411 0.4941  3 Pu 2.78, 3 Ce 2.84
S 0.7542 0.2594 0.5085  1 Ho 2.76, 2 Pu 2.78, 3 Ce 2.84-2.86
S 0.7542 0.2594 0.0051  1 Ho 2.76, 2 Pu 2.78, 3 Ce 2.84-2.86

Calculated values
symmetry = R-3m
mass density = 8.0 g/cm³
E_tot = -8.457 eV per atom


Number 1: DOS(E_F) 5.2 states/eV/cell, M_tot 0.96 μB/f.u.. Number 2: DOS(E_F) 0.0 states/eV/cell, M_tot 0.00 μB/f.u.. Number 3: DOS(E_F) 2.2 states/eV/cell, M_tot 0.00 μB/f.u.. Number 4: DOS(E_F) 14.2 states/eV/cell, M_tot 0.42 μB/f.u.. Number 5: DOS(E_F) 2.1 states/eV/cell, M_tot 0.00 μB/f.u.. Number 6: DOS(E_F) 2.6 states/eV/cell, M_tot 0.00 μB/f.u.. Number 7: DOS(E_F) 3.2 states/eV/cell, M_tot 2.07 μB/f.u.. Number 8: DOS(E_F) 10.6 states/eV/cell, M_tot 0.00 μB/f.u.. Number 9: DOS(E_F) 3.2 states/eV/cell, M_tot 0.01 μB/f.u.. Number 10: DOS(E_F) 14.6 states/eV/cell, M_tot 0.00 μB/f.u.. Number 11: DOS(E_F) 1.7 states/eV/cell, M_tot 0.00 μB/f.u.. Number 12: DOS(E_F) 36.6 states/eV/cell, M_tot 18.57 μB/f.u..